--- one ---
DFT (PBE-GGA) results for TiSb3O after structural relaxation.

Cell lengths 4.706, 4.706, 4.706 Å; angles 90.00, 90.00, 90.00 degrees
Space group Pm-3m (No. 221)
Inequivalent atoms, fractional coordinates:
Ti  0.000  0.000  0.000 x1
Sb  0.000  0.500  0.500 x3
O  0.500  0.500  0.500 x1



--- two ---
DFT (PBE-GGA) results for TiSb3O after structural relaxation.

Cell lengths 5.132, 5.132, 5.132 Å; angles 90.00, 90.00, 90.00 degrees
Space group Pm-3m (No. 221)
Inequivalent atoms, fractional coordinates:
Ti  0.000  0.000  0.000 x1
Sb  0.000  0.000  0.500 x3
O  0.500  0.500  0.500 x1



Tell me which of them is the least stable. Sure, it is two.



--- one ---
DFT (PBE-GGA) results for TlSb2O6 after structural relaxation.

Cell lengths 7.353, 7.380, 10.577 Å; angles 90.00, 90.00, 90.00 degrees
Space group Imma (No. 74)
Inequivalent atoms, fractional coordinates:
Tl  0.250  0.250  0.250 x4
Sb  0.000  0.000  0.000 x4
Sb  0.250  0.250  0.750 x4
O  0.000  0.250  0.072 x4
O  0.000  0.250  0.683 x4
O  0.197  0.043  0.872 x16



--- two ---
DFT (PBE-GGA) results for TlSb2O6 after structural relaxation.

Cell lengths 5.3982, 5.3982, 5.2582 Å; angles 90.00, 90.00, 120.00 degrees
Space group P-31m (No. 162)
Inequivalent atoms, fractional coordinates:
Tl  0.0000  0.0000  0.0000 x1
Sb  0.3333  0.6667  0.5000 x2
O  0.0000  0.3746  0.7106 x6



--- three ---
DFT (PBE-GGA) results for TlSb2O6 after structural relaxation.

Cell lengths 6.6100, 6.6100, 2.9185 Å; angles 90.00, 90.00, 120.00 degrees
Space group P-3 (No. 147)
Inequivalent atoms, fractional coordinates:
Tl  0.0000  0.0000  0.0000 x1
Sb  0.3333  0.6667  0.2552 x2
O  0.1354  0.4243  0.7565 x6



Tell me which of them is the least stable. Sure, it is three.